Entry 1:
Below is LiCdCl after structural relaxation, with properties calculated at the PBE level.

- Density: 3270 kg/m3
- D(E_F): 0.000 states/eV/atom
- Total DFT energy (no corrections): -26.31 eV/cell
- ΔE_f (raw): -634 meV per atom
- Magnetic moment: 0.00 μB/atom

Geometry as CIF:
```
data_LiCdCl
_chemical_formula_sum 'Li4 Cd4 Cl4'
_space_group_name_H-M_alt 'F -4 3 m'
_space_group_IT_number 216
_space_group_name_Hall 'F -4 2 3'
_cell_length_a 6.800
_cell_length_b 6.800
_cell_length_c 6.800
_cell_angle_alpha 90.00
_cell_angle_beta 90.00
_cell_angle_gamma 90.00
loop_
_atom_site_label
_atom_site_type_symbol
_atom_site_fract_x
_atom_site_fract_y
_atom_site_fract_z
Li1 Li 0.000 0.000 0.000
Cd1 Cd 0.250 0.250 0.750
Cl1 Cl 0.250 0.250 0.250
```



Entry 2:
Below is K2RbTlI6 after structural relaxation, with properties calculated at the PBE level.

- Density: 3691 kg/m3
- Total DFT energy (no corrections): -73.07 eV/cell
- ΔE_f (raw): -953 meV per atom
- Magnetic moment: 0.00 μB/atom

Geometry as CIF:
```
data_K2RbTlI6
_chemical_formula_sum 'K6 Rb3 Tl3 I18'
_space_group_name_H-M_alt 'R 3'
_space_group_IT_number 146
_space_group_name_Hall 'R 3'
_cell_length_a 8.7888
_cell_length_b 8.7888
_cell_length_c 22.7833
_cell_angle_alpha 90.00
_cell_angle_beta 90.00
_cell_angle_gamma 120.00
loop_
_atom_site_label
_atom_site_type_symbol
_atom_site_fract_x
_atom_site_fract_y
_atom_site_fract_z
K1 K 0.0000 0.0000 0.0000
K2 K 0.0000 0.0000 0.4865
Rb1 Rb 0.0000 0.0000 0.2005
Tl1 Tl 0.0000 0.0000 0.6877
I1 I 0.0285 0.3937 0.4287
I2 I 0.0581 0.6683 0.2722
```



Entry 3:
Below is Cs2GeTe4Pb after structural relaxation, with properties calculated at the PBE level.

- Density: 4510 kg/m3
- Total DFT energy (no corrections): -215.81 eV/cell
- ΔE_f (raw): -547 meV per atom
- Magnetic moment: 0.00 μB/atom

Geometry as CIF:
```
data_Cs2GeTe4Pb
_chemical_formula_sum 'Cs16 Ge8 Te32 Pb8'
_space_group_name_H-M_alt 'F d d d'
_space_group_IT_number 70
_cell_length_a 7.179
_cell_length_b 15.887
_cell_length_c 27.269
_cell_angle_alpha 90.00
_cell_angle_beta 90.00
_cell_angle_gamma 90.00
loop_
_space_group_symop_operation_xyz
'x,y,z'
'-x,-y,-z'
'-x+1/4,-y+1/4,z'
'x+1/4,y+1/4,-z'
'x,-y+1/4,-z+1/4'
'-x,y+1/4,z+1/4'
'-x+1/4,y,-z+1/4'
'x+1/4,-y,z+1/4'
'x,y+1/2,z+1/2'
'-x,-y+1/2,-z+1/2'
'-x+1/4,-y+3/4,z+1/2'
'x+1/4,y+3/4,-z+1/2'
'x,-y+3/4,-z+3/4'
'-x,y+3/4,z+3/4'
'-x+1/4,y+1/2,-z+3/4'
'x+1/4,-y+1/2,z+3/4'
'x+1/2,y,z+1/2'
'-x+1/2,-y,-z+1/2'
'-x+3/4,-y+1/4,z+1/2'
'x+3/4,y+1/4,-z+1/2'
'x+1/2,-y+1/4,-z+3/4'
'-x+1/2,y+1/4,z+3/4'
'-x+3/4,y,-z+3/4'
'x+3/4,-y,z+3/4'
'x+1/2,y+1/2,z'
'-x+1/2,-y+1/2,-z'
'-x+3/4,-y+3/4,z'
'x+3/4,y+3/4,-z'
'x+1/2,-y+3/4,-z+1/4'
'-x+1/2,y+3/4,z+1/4'
'-x+3/4,y+1/2,-z+1/4'
'x+3/4,-y+1/2,z+1/4'
loop_
_atom_site_label
_atom_site_type_symbol
_atom_site_fract_x
_atom_site_fract_y
_atom_site_fract_z
Cs1 Cs 0.125 0.125 0.309
Ge1 Ge 0.125 0.125 0.625
Te1 Te 0.074 0.275 0.817
Pb1 Pb 0.125 0.125 0.125
```



Entry 4:
Below is ThAsRuSe after structural relaxation, with properties calculated at the PBE level.

- Density: 9670 kg/m3
- D(E_F): 0.497 states/eV/atom
- Total DFT energy (no corrections): -57.50 eV/cell
- ΔE_f (raw): -980 meV per atom
- Magnetic moment: 0.00 μB/atom

Geometry as CIF:
```
data_ThAsRuSe
_chemical_formula_sum 'Th2 As2 Ru2 Se2'
_space_group_name_H-M_alt 'P 4/n m m'
_space_group_IT_number 129
_cell_length_a 4.275
_cell_length_b 4.275
_cell_length_c 9.152
_cell_angle_alpha 90.00
_cell_angle_beta 90.00
_cell_angle_gamma 90.00
loop_
_space_group_symop_operation_xyz
'x,y,z'
'-x,-y,-z'
'-y+1/2,x,z'
'y+1/2,-x,-z'
'-x+1/2,-y+1/2,z'
'x+1/2,y+1/2,-z'
'y,-x+1/2,z'
'-y,x+1/2,-z'
'x+1/2,-y,-z'
'-x+1/2,y,z'
'-y,-x,-z'
'y,x,z'
'-x,y+1/2,-z'
'x,-y+1/2,z'
'y+1/2,x+1/2,-z'
'-y+1/2,-x+1/2,z'
loop_
_atom_site_label
_atom_site_type_symbol
_atom_site_fract_x
_atom_site_fract_y
_atom_site_fract_z
Th1 Th 0.250 0.250 0.239
As1 As 0.250 0.250 0.646
Ru1 Ru 0.250 0.750 0.500
Se1 Se 0.250 0.750 0.000
```



Entry 5:
Below is Pr14TmPu after structural relaxation, with properties calculated at the PBE level.

- Density: 7026 kg/m3
- D(E_F): 1.946 states/eV/atom
- Total DFT energy (no corrections): -170.08 eV/cell
- Magnetic moment: 0.42 μB/atom

Geometry as CIF:
```
data_Pr14TmPu
_chemical_formula_sum 'Pr28 Tm2 Pu2'
_space_group_name_H-M_alt 'A m m 2'
_space_group_IT_number 38
_cell_length_a 10.398
_cell_length_b 10.415
_cell_length_c 10.414
_cell_angle_alpha 90.00
_cell_angle_beta 90.00
_cell_angle_gamma 90.00
loop_
_space_group_symop_operation_xyz
'x,y,z'
'-x,-y,z'
'-x,y,z'
'x,-y,z'
'x,y+1/2,z+1/2'
'-x,-y+1/2,z+1/2'
'-x,y+1/2,z+1/2'
'x,-y+1/2,z+1/2'
loop_
_atom_site_label
_atom_site_type_symbol
_atom_site_fract_x
_atom_site_fract_y
_atom_site_fract_z
Pr1 Pr 0.000 0.000 0.000
Pr2 Pr 0.000 0.000 0.499
Pr3 Pr 0.000 0.250 0.250
Pr4 Pr 0.255 0.000 0.749
Pr5 Pr 0.256 0.000 0.250
Pr6 Pr 0.256 0.249 0.500
Pr7 Pr 0.500 0.250 0.250
Tm1 Tm 0.500 0.000 0.999
Pu1 Pu 0.500 0.000 0.500
```



Entry 6:
Below is TaTiPS2 after structural relaxation, with properties calculated at the PBE level.

- Density: 5519 kg/m3
- D(E_F): 0.626 states/eV/atom
- Total DFT energy (no corrections): -31.80 eV/cell
- ΔE_f (raw): 323 meV per atom
- Magnetic moment: 0.37 μB/atom

Geometry as CIF:
```
data_TaTiPS2
_chemical_formula_sum 'Ta1 Ti1 P1 S2'
_space_group_name_H-M_alt 'P 4/m m m'
_space_group_IT_number 123
_space_group_name_Hall '-P 4 2'
_cell_length_a 4.530
_cell_length_b 4.530
_cell_length_c 4.749
_cell_angle_alpha 90.00
_cell_angle_beta 90.00
_cell_angle_gamma 90.00
loop_
_atom_site_label
_atom_site_type_symbol
_atom_site_fract_x
_atom_site_fract_y
_atom_site_fract_z
Ta1 Ta 0.000 0.000 0.000
Ti1 Ti 0.500 0.500 0.500
P1 P 0.500 0.500 0.000
S1 S 0.000 0.500 0.500
```



Entry 7:
Below is GaHW3 after structural relaxation, with properties calculated at the PBE level.

- Density: 15759 kg/m3
- D(E_F): 0.691 states/eV/atom
- Total DFT energy (no corrections): -43.54 eV/cell
- Magnetic moment: 0.00 μB/atom

Geometry as CIF:
```
data_GaHW3
_chemical_formula_sum 'Ga1 H1 W3'
_space_group_name_H-M_alt 'P m -3 m'
_space_group_IT_number 221
_space_group_name_Hall '-P 4 2 3'
_cell_length_a 4.032
_cell_length_b 4.032
_cell_length_c 4.032
_cell_angle_alpha 90.00
_cell_angle_beta 90.00
_cell_angle_gamma 90.00
loop_
_atom_site_label
_atom_site_type_symbol
_atom_site_fract_x
_atom_site_fract_y
_atom_site_fract_z
Ga1 Ga 0.000 0.000 0.000
H1 H 0.500 0.500 0.500
W1 W 0.000 0.500 0.500
```



Entry 8:
Below is Te8MoAu2 after structural relaxation, with properties calculated at the PBE level.

- Density: 7510 kg/m3
- D(E_F): 0.625 states/eV/atom
- Total DFT energy (no corrections): -83.39 eV/cell
- ΔE_f (raw): 75 meV per atom
- Magnetic moment: 0.05 μB/atom

Geometry as CIF:
```
data_Te8MoAu2
_chemical_formula_sum 'Te16 Mo2 Au4'
_space_group_name_H-M_alt 'C 1 2/m 1'
_space_group_IT_number 12
_cell_length_a 11.281
_cell_length_b 9.321
_cell_length_c 6.418
_cell_angle_alpha 90.00
_cell_angle_beta 98.16
_cell_angle_gamma 90.00
loop_
_space_group_symop_operation_xyz
'x,y,z'
'-x,-y,-z'
'-x,y,-z'
'x,-y,z'
'x+1/2,y+1/2,z'
'-x+1/2,-y+1/2,-z'
'-x+1/2,y+1/2,-z'
'x+1/2,-y+1/2,z'
loop_
_atom_site_label
_atom_site_type_symbol
_atom_site_fract_x
_atom_site_fract_y
_atom_site_fract_z
Te1 Te 0.072 0.000 0.268
Te2 Te 0.074 0.316 0.825
Te3 Te 0.222 0.500 0.406
Mo1 Mo 0.000 0.500 0.500
Au1 Au 0.227 0.000 0.988
```



Entry 9:
Below is LaAlSn2 after structural relaxation, with properties calculated at the PBE level.

- Density: 6461 kg/m3
- D(E_F): 0.440 states/eV/atom
- Total DFT energy (no corrections): -18.60 eV/cell
- Magnetic moment: 0.00 μB/atom

Geometry as CIF:
```
data_LaAlSn2
_chemical_formula_sum 'La1 Al1 Sn2'
_space_group_name_H-M_alt 'P 4/m m m'
_space_group_IT_number 123
_space_group_name_Hall '-P 4 2'
_cell_length_a 4.662
_cell_length_b 4.662
_cell_length_c 4.770
_cell_angle_alpha 90.00
_cell_angle_beta 90.00
_cell_angle_gamma 90.00
loop_
_atom_site_label
_atom_site_type_symbol
_atom_site_fract_x
_atom_site_fract_y
_atom_site_fract_z
La1 La 0.000 0.000 0.000
Al1 Al 0.500 0.500 0.000
Sn1 Sn 0.000 0.500 0.500
```



Entry 10:
Below is Re3As after structural relaxation, with properties calculated at the PBE level.

- Density: 17417 kg/m3
- D(E_F): 1.557 states/eV/atom
- Total DFT energy (no corrections): -38.93 eV/cell
- Magnetic moment: 0.00 μB/atom

Geometry as CIF:
```
data_Re3As
_chemical_formula_sum 'Re3 As1'
_space_group_name_H-M_alt 'P m -3 m'
_space_group_IT_number 221
_space_group_name_Hall '-P 4 2 3'
_cell_length_a 3.924
_cell_length_b 3.924
_cell_length_c 3.924
_cell_angle_alpha 90.00
_cell_angle_beta 90.00
_cell_angle_gamma 90.00
loop_
_atom_site_label
_atom_site_type_symbol
_atom_site_fract_x
_atom_site_fract_y
_atom_site_fract_z
Re1 Re 0.000 0.000 0.500
As1 As 0.500 0.500 0.500
```



Entry 11:
Below is Nb3V8In after structural relaxation, with properties calculated at the PBE level.

- Density: 7181 kg/m3
- D(E_F): 1.132 states/eV/atom
- Total DFT energy (no corrections): -105.85 eV/cell
- Magnetic moment: 0.00 μB/atom

Geometry as CIF:
```
data_Nb3V8In
_chemical_formula_sum 'Nb3 V8 In1'
_space_group_name_H-M_alt 'P 3 m 1'
_space_group_IT_number 156
_cell_length_a 5.0677
_cell_length_b 5.0677
_cell_length_c 8.3288
_cell_angle_alpha 90.00
_cell_angle_beta 90.00
_cell_angle_gamma 120.00
loop_
_space_group_symop_operation_xyz
'x,y,z'
'-y,x-y,z'
'-x+y,-x,z'
'-y,-x,z'
'-x+y,y,z'
'x,x-y,z'
loop_
_atom_site_label
_atom_site_type_symbol
_atom_site_fract_x
_atom_site_fract_y
_atom_site_fract_z
Nb1 Nb 0.0000 0.0000 0.0000
Nb2 Nb 0.0000 0.0000 0.3689
Nb3 Nb 0.3333 0.6667 0.8789
V1 V 0.0021 0.5010 0.1831
V2 V 0.3263 0.1631 0.6927
V3 V 0.6667 0.3333 0.4296
V4 V 0.6667 0.3333 0.9353
In1 In 0.3333 0.6667 0.5006
```



Entry 12:
Below is La2SbRh after structural relaxation, with properties calculated at the PBE level.

- Density: 7625 kg/m3
- D(E_F): 1.061 states/eV/atom
- Total DFT energy (no corrections): -22.91 eV/cell
- ΔE_f (raw): -394 meV per atom
- Magnetic moment: 0.00 μB/atom

Geometry as CIF:
```
data_La2SbRh
_chemical_formula_sum 'La2 Sb1 Rh1'
_space_group_name_H-M_alt 'P 4 m m'
_space_group_IT_number 99
_cell_length_a 3.517
_cell_length_b 3.517
_cell_length_c 8.846
_cell_angle_alpha 90.00
_cell_angle_beta 90.00
_cell_angle_gamma 90.00
loop_
_space_group_symop_operation_xyz
'x,y,z'
'-y,x,z'
'-x,-y,z'
'y,-x,z'
'-x,y,z'
'y,x,z'
'x,-y,z'
'-y,-x,z'
loop_
_atom_site_label
_atom_site_type_symbol
_atom_site_fract_x
_atom_site_fract_y
_atom_site_fract_z
La1 La 0.000 0.000 0.000
La2 La 0.500 0.500 0.372
Sb1 Sb 0.500 0.500 0.743
Rh1 Rh 0.000 0.000 0.598
```



Question: Which value of total DFT energy (no corrections) does entry 7 give?
Answer: -43.54 eV/cell